Computed, not measured: KTe2Ru after structural relaxation at the PBE-GGA level of DFT.

Lattice parameters (Å, degrees): 8.1166 8.1166 7.0074 54.61 54.61 90.00
Sites, in units of the cell vectors:
Ru 0.7500 0.2500 0.5000
Ru 0.0000 0.0000 0.0000
Te 0.7302 0.1250 0.2500
Te 0.3750 0.2698 0.7500
Te 0.0198 0.6250 0.2500
Te 0.8750 0.9802 0.7500
K 0.5000 0.5000 0.0000
K 0.2500 0.7500 0.5000

Computed properties:
* M_tot: 0.0 μB/f.u.
* formation energy (no corrections): -277 meV per atom
* ΔE to the lowest computed polymorph: 0.371 eV/f.u.
* DOS at the Fermi energy: 2.56 states/eV/f.u.